[1]
DFT (GGA-PBE) results for Li2YTl after structural relaxation.

abc: 6.295 10.957 3.392
angles: 90.00 119.75 90.00
Space group C2/m (No. 12)
Inequivalent atoms, fractional coordinates:
Li1 0.250 0.250 0.000 [4 per cell]
Y1 0.000 0.000 0.500 [2 per cell]
Tl1 0.000 0.500 0.500 [2 per cell]

Calculated values
Uncorrected energy in eV/f.u.: -12.78
Crystal system: monoclinic
Theoretical density in Mg/m³: 5.02
Energy of formation in eV per atom: -0.031

***

[2]
DFT (GGA-PBE) results for Li4YTl4 after structural relaxation.

abc: 6.441 6.441 9.833
angles: 90.00 90.00 90.00
Space group P4_2/nmc (No. 137, origin choice 2)
Inequivalent atoms, fractional coordinates:
Li1 0.034 0.250 0.179 [8 per cell]
Y1 0.250 0.750 0.250 [2 per cell]
Tl1 0.013 0.250 0.466 [8 per cell]

Calculated values
Uncorrected energy in eV/f.u.: -25.00
Crystal system: tetragonal
Theoretical density in Mg/m³: 7.60
Energy of formation in eV per atom: -0.158

***

[3]
DFT (GGA-PBE) results for Li4Y5Tl4 after structural relaxation.

abc: 12.986 12.986 3.905
angles: 90.00 90.00 90.00
Space group I4/m (No. 87)
Inequivalent atoms, fractional coordinates:
Li1 0.079 0.593 0.000 [8 per cell]
Y1 0.000 0.000 0.500 [2 per cell]
Y2 0.128 0.215 0.000 [8 per cell]
Tl1 0.065 0.751 0.500 [8 per cell]

Calculated values
Uncorrected energy in eV/f.u.: -53.25
Crystal system: tetragonal
Theoretical density in Mg/m³: 6.50
Energy of formation in eV per atom: -0.293